No. 1
# PBE AgPt2Se, relaxed
# * formation energy from raw total energies: 0.759 eV/f.u.
# * DFT total energy: -4.414 eV per atom
# * M_tot: 0.000 μB per formula unit
# * DOS at the Fermi energy: 0.7361 states/eV per atom
data_AgPt2Se
_symmetry_space_group_name_H-M 'P m m m'
_symmetry_Int_Tables_number 47
_symmetry_space_group_name_Hall '-P 2 2'
_cell_length_a 2.8386
_cell_length_b 4.8954
_cell_length_c 4.9276
_cell_angle_alpha 90.00
_cell_angle_beta 90.00
_cell_angle_gamma 90.00
loop_
_atom_site_label
_atom_site_fract_x
_atom_site_fract_y
_atom_site_fract_z
_atom_site_occupancy
Ag1 0.0000 0.0000 0.0000 1
Pt1 0.0000 0.5000 0.5000 1
Pt2 0.5000 0.0000 0.5000 1
Se1 0.5000 0.5000 0.0000 1


No. 2
# PBE AgPtSe2, relaxed
# * formation energy from raw total energies: 1.012 eV/f.u.
# * DFT total energy: -3.712 eV per atom
# * M_tot: 0.000 μB per formula unit
# * DOS at the Fermi energy: 0.7840 states/eV per atom
data_AgPtSe2
_symmetry_space_group_name_H-M 'C m m m'
_symmetry_Int_Tables_number 65
_symmetry_space_group_name_Hall '-C 2 2'
_cell_length_a 6.8969
_cell_length_b 7.0940
_cell_length_c 3.0090
_cell_angle_alpha 90.00
_cell_angle_beta 90.00
_cell_angle_gamma 90.00
loop_
_atom_site_label
_atom_site_fract_x
_atom_site_fract_y
_atom_site_fract_z
_atom_site_occupancy
Ag1 0.0000 0.0000 0.0000 1
Pt1 0.0000 0.5000 0.0000 1
Se1 0.2500 0.2500 0.5000 1


No. 3
# PBE Ag2PtSe, relaxed
# * formation energy from raw total energies: 0.531 eV/f.u.
# * DFT total energy: -3.674 eV per atom
# * M_tot: 0.000 μB per formula unit
# * DOS at the Fermi energy: 0.3623 states/eV per atom
data_Ag2PtSe
_symmetry_space_group_name_H-M 'P 4 m m'
_symmetry_Int_Tables_number 99
_symmetry_space_group_name_Hall 'P 4 -2'
_cell_length_a 2.9994
_cell_length_b 2.9994
_cell_length_c 8.0038
_cell_angle_alpha 90.00
_cell_angle_beta 90.00
_cell_angle_gamma 90.00
loop_
_atom_site_label
_atom_site_fract_x
_atom_site_fract_y
_atom_site_fract_z
_atom_site_occupancy
Ag1 0.0000 0.0000 0.0000 1
Ag2 0.5000 0.5000 0.2520 1
Pt1 0.0000 0.0000 0.5018 1
Se1 0.5000 0.5000 0.7139 1


No. 4
# PBE Ag2PtSe, relaxed
# * formation energy from raw total energies: 0.863 eV/f.u.
# * DFT total energy: -3.591 eV per atom
# * M_tot: 0.000 μB per formula unit
# * DOS at the Fermi energy: 0.9993 states/eV per atom
data_Ag2PtSe
_symmetry_space_group_name_H-M 'F -4 3 m'
_symmetry_Int_Tables_number 216
_symmetry_space_group_name_Hall 'F -4 2 3'
_cell_length_a 6.5954
_cell_length_b 6.5954
_cell_length_c 6.5954
_cell_angle_alpha 90.00
_cell_angle_beta 90.00
_cell_angle_gamma 90.00
loop_
_atom_site_label
_atom_site_fract_x
_atom_site_fract_y
_atom_site_fract_z
_atom_site_occupancy
Ag1 0.0000 0.0000 0.0000 1
Ag2 0.2500 0.2500 0.2500 1
Pt1 0.2500 0.2500 0.7500 1
Se1 0.0000 0.0000 0.5000 1


No. 5
# PBE Ag2PtSe, relaxed
# * formation energy from raw total energies: 0.533 eV/f.u.
# * DFT total energy: -3.674 eV per atom
# * M_tot: 0.000 μB per formula unit
# * DOS at the Fermi energy: 0.3649 states/eV per atom
data_Ag2PtSe
_symmetry_space_group_name_H-M 'I 4/m m m'
_symmetry_Int_Tables_number 139
_symmetry_space_group_name_Hall '-I 4 2'
_cell_length_a 3.9878
_cell_length_b 3.9878
_cell_length_c 8.9474
_cell_angle_alpha 90.00
_cell_angle_beta 90.00
_cell_angle_gamma 90.00
loop_
_atom_site_label
_atom_site_fract_x
_atom_site_fract_y
_atom_site_fract_z
_atom_site_occupancy
Ag1 0.0000 0.5000 0.2500 1
Pt1 0.0000 0.0000 0.0000 1
Se1 0.0000 0.0000 0.5000 1


No. 6
# PBE AgPt2Se, relaxed
# * formation energy from raw total energies: 0.564 eV/f.u.
# * DFT total energy: -4.463 eV per atom
# * M_tot: 0.000 μB per formula unit
# * DOS at the Fermi energy: 0.5544 states/eV per atom
data_AgPt2Se
_symmetry_space_group_name_H-M 'P 4/m m m'
_symmetry_Int_Tables_number 123
_symmetry_space_group_name_Hall '-P 4 2'
_cell_length_a 3.0571
_cell_length_b 3.0571
_cell_length_c 7.2319
_cell_angle_alpha 90.00
_cell_angle_beta 90.00
_cell_angle_gamma 90.00
loop_
_atom_site_label
_atom_site_fract_x
_atom_site_fract_y
_atom_site_fract_z
_atom_site_occupancy
Ag1 0.0000 0.0000 0.0000 1
Pt1 0.5000 0.5000 0.2677 1
Se1 0.0000 0.0000 0.5000 1


No. 7
# PBE AgPt2Se, relaxed
# * formation energy from raw total energies: 0.554 eV/f.u.
# * DFT total energy: -4.466 eV per atom
# * M_tot: 0.000 μB per formula unit
# * DOS at the Fermi energy: 0.6973 states/eV per atom
data_AgPt2Se
_symmetry_space_group_name_H-M 'R 3 m'
_symmetry_Int_Tables_number 160
_symmetry_space_group_name_Hall 'R 3 -2"'
_cell_length_a 3.0924
_cell_length_b 3.0924
_cell_length_c 25.6311
_cell_angle_alpha 90.00
_cell_angle_beta 90.00
_cell_angle_gamma 120.00
loop_
_atom_site_label
_atom_site_fract_x
_atom_site_fract_y
_atom_site_fract_z
_atom_site_occupancy
Ag1 0.0000 0.0000 0.0000 1
Pt1 0.0000 0.0000 0.2467 1
Pt2 0.0000 0.0000 0.4979 1
Se1 0.0000 0.0000 0.7609 1


No. 8
# PBE AgPtSe4, relaxed
# * formation energy from raw total energies: -0.894 eV/f.u.
# * DFT total energy: -3.954 eV per atom
# * M_tot: 0.000 μB per formula unit
# * DOS at the Fermi energy: 0.4873 states/eV per atom
data_AgPtSe4
_symmetry_space_group_name_H-M 'I m m a'
_symmetry_Int_Tables_number 74
_symmetry_space_group_name_Hall '-I 2b 2'
_cell_length_a 6.9995
_cell_length_b 7.3291
_cell_length_c 12.1678
_cell_angle_alpha 90.00
_cell_angle_beta 90.00
_cell_angle_gamma 90.00
loop_
_atom_site_label
_atom_site_fract_x
_atom_site_fract_y
_atom_site_fract_z
_atom_site_occupancy
Ag1 0.2500 0.2500 0.2500 1
Pt1 0.0000 0.0000 0.0000 1
Se1 0.0000 0.0882 0.8017 1
Se2 0.2406 0.2500 0.0406 1